A plane-wave DFT calculation with meta-GGA SCAN was carried out for a PBEsol-optimized structure of ZrTaCu.

Cell and atoms, written as POSCAR:
```
ZrTaCu
1.0
-1.3519 -2.5208 0.3990
0.8052 0.0027 2.7735
-4.8283 4.2289 -0.1080
Cu Ta Zr
1 1 1
direct
0.0057 0.0057 0.0114
0.6527 0.6527 0.3054
0.3416 0.3416 0.6832
```

Properties
Excess energy over the best structure of this formula in the dataset ... 0.000 eV per atom
Formation energy from the elements ... 0.11 eV/f.u.
Magnetic moment ... 0.0 μB/cell



A plane-wave DFT calculation with meta-GGA SCAN was carried out for a PBEsol-optimized structure of Zr2TaCu.

Cell and atoms, written as POSCAR:
```
Zr2TaCu
1.0
-1.7294 2.4796 -0.6812
-3.0875 -0.2451 -0.1026
-2.0662 2.8491 8.5674
Cu Ta Zr
1 1 2
direct
0.5000 0.5000 0.5000
0.0000 0.0000 0.0000
0.2454 0.2454 0.2639
0.7546 0.7546 0.7361
```

Properties
Excess energy over the best structure of this formula in the dataset ... 0.133 eV per atom
Formation energy from the elements ... 0.84 eV/f.u.
Magnetic moment ... 0.0 μB/cell



A plane-wave DFT calculation with meta-GGA SCAN was carried out for a PBEsol-optimized structure of ZrTa2Cu.

Cell and atoms, written as POSCAR:
```
ZrTa2Cu
1.0
-3.1960 2.5945 2.0210
-3.9158 -1.8980 1.4473
-0.8100 -0.4438 4.4919
Cu Ta Zr
1 2 1
direct
0.5000 0.5000 0.5000
0.0000 0.0000 0.0000
0.7500 0.7500 0.7500
0.2500 0.2500 0.2500
```

Properties
Excess energy over the best structure of this formula in the dataset ... 0.066 eV per atom
Formation energy from the elements ... 0.40 eV/f.u.
Magnetic moment ... 0.0 μB/cell



A plane-wave DFT calculation with meta-GGA SCAN was carried out for a PBEsol-optimized structure of ZrTa2Cu.

Cell and atoms, written as POSCAR:
```
ZrTa2Cu
1.0
-0.4345 -0.9853 -3.1432
-2.4086 -2.0676 0.9811
-4.2090 4.5085 -0.8314
Cu Ta Zr
1 2 1
direct
0.5000 0.5000 0.7629
0.0000 0.0000 0.9958
0.5000 0.5000 0.2329
0.0000 0.0000 0.5084
```

Properties
Excess energy over the best structure of this formula in the dataset ... 0.000 eV per atom
Formation energy from the elements ... 0.14 eV/f.u.
Magnetic moment ... 0.0 μB/cell



A plane-wave DFT calculation with meta-GGA SCAN was carried out for a PBEsol-optimized structure of Zr2TaCu.

Cell and atoms, written as POSCAR:
```
Zr2TaCu
1.0
3.0765 0.0000 0.0000
0.0000 4.8680 0.0000
-1.5382 -2.4340 4.9269
Cu Ta Zr
1 1 2
direct
0.5112 0.5112 0.0224
0.2272 0.7272 0.4544
0.9909 0.9909 0.9818
0.7707 0.2707 0.5414
```

Properties
Excess energy over the best structure of this formula in the dataset ... 0.000 eV per atom
Formation energy from the elements ... 0.31 eV/f.u.
Magnetic moment ... 0.0 μB/cell



A plane-wave DFT calculation with meta-GGA SCAN was carried out for a PBEsol-optimized structure of Zr2TaCu.

Cell and atoms, written as POSCAR:
```
Zr2TaCu
1.0
-2.6774 1.1900 -0.8145
-1.7307 -2.6109 1.8748
0.0611 3.7636 5.2978
Cu Ta Zr
1 1 2
direct
0.0000 0.0000 0.5136
0.5000 0.5000 0.7264
0.0000 0.0000 0.9865
0.5000 0.5000 0.2735
```

Properties
Excess energy over the best structure of this formula in the dataset ... 0.032 eV per atom
Formation energy from the elements ... 0.43 eV/f.u.
Magnetic moment ... 0.0 μB/cell